1.
! NbCoBi, optimized geometry, DFT PBE-GGA; values from VASP
! M_tot: 0.40 μB/f.u.
! space-group type: No. 38
&SYSTEM
  ibrav = 0, nat = 6, ntyp = 3
/
ATOMIC_SPECIES
Bi 208.98 Bi.upf
Co 58.93 Co.upf
Nb 92.91 Nb.upf
CELL_PARAMETERS angstrom
-1.194 -1.328 3.579
-1.438 -0.363 -2.850
5.772 -9.708 -1.677
ATOMIC_POSITIONS crystal
Bi 0.646 0.292 0.660
Co 0.233 0.466 0.500
Nb 0.243 0.486 0.129
Nb 0.243 0.486 0.871
Co 0.656 0.312 0.000
Bi 0.646 0.292 0.340



2.
! KBe2Cr, optimized geometry, DFT PBE-GGA; values from VASP
! M_tot: 0.69 μB/f.u.
! space-group type: No. 166
&SYSTEM
  ibrav = 0, nat = 4, ntyp = 3
/
ATOMIC_SPECIES
Cr 52.00 Cr.upf
Be 9.01 Be.upf
K 39.10 K.upf
CELL_PARAMETERS angstrom
9.665 -0.006 -0.004
9.302 2.624 -0.004
9.302 1.284 2.288
ATOMIC_POSITIONS crystal
Cr 0.250 0.250 0.250
Be 0.517 0.517 0.517
K 0.750 0.750 0.750
Be 0.983 0.983 0.983



3.
! LuCdBi2, optimized geometry, DFT PBE-GGA; values from VASP
! M_tot: 0.00 μB/f.u.
! space-group type: No. 166
&SYSTEM
  ibrav = 0, nat = 4, ntyp = 3
/
ATOMIC_SPECIES
Cd 112.41 Cd.upf
Bi 208.98 Bi.upf
Lu 174.97 Lu.upf
CELL_PARAMETERS angstrom
-2.054 -3.957 -0.008
1.573 -3.323 -2.523
5.099 -5.170 6.049
ATOMIC_POSITIONS crystal
Cd 0.000 0.000 0.000
Bi 0.897 0.897 0.309
Bi 0.103 0.103 0.691
Lu 0.500 0.500 0.500



4.
! Sn2Rh2Au, optimized geometry, DFT PBE-GGA; values from VASP
! M_tot: 0.00 μB/f.u.
! space-group type: No. 139
&SYSTEM
  ibrav = 0, nat = 5, ntyp = 3
/
ATOMIC_SPECIES
Au 196.97 Au.upf
Sn 118.71 Sn.upf
Rh 102.91 Rh.upf
CELL_PARAMETERS angstrom
-2.399 3.128 1.360
0.560 -1.278 3.929
3.749 4.314 3.082
ATOMIC_POSITIONS crystal
Au 0.000 0.000 0.000
Sn 0.750 0.250 0.500
Rh 0.610 0.610 0.780
Sn 0.250 0.750 0.500
Rh 0.390 0.390 0.220



Sequential E_form output: 0.359, 0.993, -0.028, -0.018 eV per atom
Sequential density of states at the Fermi level output: 0.926, 0.620, 0.396, 0.343 states/eV per atom